Below is an optimized crystal structure of V2ZnO4, with properties calculated at the GGA+U level.

Space group ... Cm (8)
Magnetization ... 0.571 μB/atom
E above lowest polymorph ... 0.0 meV/atom

Structure (CIF):
```
data_V2ZnO4
_space_group_name_H-M_alt 'P 1'
_space_group_IT_number 1
_space_group_name_Hall 'P 1'
_cell_length_a 6.068
_cell_length_b 6.068
_cell_length_c 14.843
_cell_angle_alpha 90.08
_cell_angle_beta 90.08
_cell_angle_gamma 60.06
loop_
_atom_site_label
_atom_site_fract_x
_atom_site_fract_y
_atom_site_fract_z
_atom_site_occupancy
V1 0.000 0.000 0.000 1
V2 0.001 0.500 0.125 1
V3 0.162 0.663 0.459 1
V4 0.163 0.163 0.458 1
V5 0.331 0.331 0.292 1
V6 0.335 0.832 0.792 1
V7 0.500 0.001 0.125 1
V8 0.500 0.500 0.124 1
V9 0.663 0.162 0.459 1
V10 0.831 0.831 0.791 1
V11 0.832 0.335 0.792 1
V12 0.997 0.997 0.626 1
Zn1 0.331 0.331 0.913 1
Zn2 0.332 0.332 0.667 1
Zn3 0.664 0.664 0.333 1
Zn4 0.664 0.664 0.582 1
Zn5 0.665 0.665 0.956 1
Zn6 0.998 0.998 0.251 1
O1 0.024 0.482 0.378 1
O2 0.152 0.152 0.715 1
O3 0.154 0.695 0.711 1
O4 0.180 0.180 0.204 1
O5 0.182 0.638 0.205 1
O6 0.300 0.844 0.539 1
O7 0.330 0.330 0.532 1
O8 0.335 0.335 0.051 1
O9 0.348 0.826 0.046 1
O10 0.482 0.024 0.378 1
O11 0.482 0.482 0.377 1
O12 0.508 0.508 0.864 1
O13 0.509 0.976 0.868 1
O14 0.638 0.182 0.205 1
O15 0.664 0.664 0.197 1
O16 0.670 0.670 0.717 1
O17 0.695 0.154 0.711 1
O18 0.826 0.348 0.046 1
O19 0.826 0.826 0.051 1
O20 0.843 0.843 0.537 1
O21 0.844 0.300 0.539 1
O22 0.976 0.509 0.868 1
O23 0.995 0.995 0.868 1
O24 0.997 0.997 0.385 1
```